No. 1
VASP calculation (GGA-PBE) on a relaxed NaPd2F11 crystal.

The structure in CIF format:
```
data_NaPd2F11
_chemical_formula_sum 'Na4 Pd8 F44'
_space_group_name_H-M_alt 'I b a m'
_space_group_IT_number 72
_space_group_name_Hall '-I 2 2c'
_cell_length_a 9.078
_cell_length_b 9.116
_cell_length_c 10.421
_cell_angle_alpha 90.00
_cell_angle_beta 90.00
_cell_angle_gamma 90.00
loop_
_atom_site_label
_atom_site_fract_x
_atom_site_fract_y
_atom_site_fract_z
_atom_site_occupancy
Na1 0.000 0.000 0.250 1
Pd1 0.159 0.342 0.000 1
F1 0.000 0.500 0.000 1
F2 0.054 0.236 0.129 1
F3 0.196 0.303 0.500 1
F4 0.235 0.053 0.371 1
```

Uncorrected formation energy in meV per atom: -1273

---

No. 2
VASP calculation (GGA-PBE) on a relaxed NiOs crystal.

The structure in CIF format:
```
data_NiOs
_chemical_formula_sum 'Ni2 Os2'
_space_group_name_H-M_alt 'P -3 m 1'
_space_group_IT_number 164
_space_group_name_Hall '-P 3 2"'
_cell_length_a 2.7039
_cell_length_b 2.7039
_cell_length_c 8.1936
_cell_angle_alpha 90.00
_cell_angle_beta 90.00
_cell_angle_gamma 120.00
loop_
_atom_site_label
_atom_site_fract_x
_atom_site_fract_y
_atom_site_fract_z
_atom_site_occupancy
Ni1 0.3333 0.6667 0.3793 1
Os1 0.3333 0.6667 0.8701 1
```

Calculated formation energy in eV/atom: 0.11

---

No. 3
VASP calculation (GGA-PBE) on a relaxed LiLa2AlO crystal.

The structure in CIF format:
```
data_LiLa2AlO
_chemical_formula_sum 'Li1 La2 Al1 O1'
_space_group_name_H-M_alt 'P 4/m m m'
_space_group_IT_number 123
_space_group_name_Hall '-P 4 2'
_cell_length_a 5.065
_cell_length_b 5.065
_cell_length_c 4.287
_cell_angle_alpha 90.00
_cell_angle_beta 90.00
_cell_angle_gamma 90.00
loop_
_atom_site_label
_atom_site_fract_x
_atom_site_fract_y
_atom_site_fract_z
_atom_site_occupancy
Li1 0.000 0.000 0.000 1
La1 0.000 0.500 0.500 1
Al1 0.500 0.500 0.000 1
O1 0.000 0.000 0.500 1
```

Uncorrected formation energy in meV per atom: -1290

---

No. 4
VASP calculation (GGA-PBE) on a relaxed Li2In2Hg2Pb crystal.

The structure in CIF format:
```
data_Li2In2Hg2Pb
_chemical_formula_sum 'Li6 In6 Hg6 Pb3'
_space_group_name_H-M_alt 'R -3 m'
_space_group_IT_number 166
_space_group_name_Hall '-R 3 2"'
_cell_length_a 4.8812
_cell_length_b 4.8812
_cell_length_c 24.5407
_cell_angle_alpha 90.00
_cell_angle_beta 90.00
_cell_angle_gamma 120.00
loop_
_atom_site_label
_atom_site_fract_x
_atom_site_fract_y
_atom_site_fract_z
_atom_site_occupancy
Li1 0.0000 0.0000 0.1344 1
In1 0.0000 0.0000 0.2646 1
Hg1 0.0000 0.0000 0.4384 1
Pb1 0.0000 0.0000 0.0000 1
```

Calculated formation energy in eV/atom: -0.14

---

No. 5
VASP calculation (GGA-PBE) on a relaxed Pm12In6Rh crystal.

The structure in CIF format:
```
data_Pm12In6Rh
_chemical_formula_sum 'Pm36 In18 Rh3'
_space_group_name_H-M_alt 'R -3'
_space_group_IT_number 148
_space_group_name_Hall '-R 3'
_cell_length_a 12.3907
_cell_length_b 12.3907
_cell_length_c 13.6224
_cell_angle_alpha 90.00
_cell_angle_beta 90.00
_cell_angle_gamma 120.00
loop_
_atom_site_label
_atom_site_fract_x
_atom_site_fract_y
_atom_site_fract_z
_atom_site_occupancy
Pm1 0.0380 0.1899 0.3694 1
Pm2 0.0386 0.8462 0.8922 1
In1 0.0037 0.6024 0.7636 1
Rh1 0.0000 0.0000 0.5000 1
```

Calculated formation energy in eV/atom: -0.26

---

No. 6
VASP calculation (GGA-PBE) on a relaxed Sc2NiP crystal.

The structure in CIF format:
```
data_Sc2NiP
_chemical_formula_sum 'Sc4 Ni2 P2'
_space_group_name_H-M_alt 'C m m 2'
_space_group_IT_number 35
_cell_length_a 4.063
_cell_length_b 4.957
_cell_length_c 7.114
_cell_angle_alpha 90.00
_cell_angle_beta 90.00
_cell_angle_gamma 90.00
loop_
_space_group_symop_operation_xyz
'x,y,z'
'-x,-y,z'
'-x,y,z'
'x,-y,z'
'x+1/2,y+1/2,z'
'-x+1/2,-y+1/2,z'
'-x+1/2,y+1/2,z'
'x+1/2,-y+1/2,z'
loop_
_atom_site_label
_atom_site_fract_x
_atom_site_fract_y
_atom_site_fract_z
_atom_site_occupancy
Sc1 0.000 0.000 0.000 1
Sc2 0.000 0.500 0.371 1
Ni1 0.000 0.000 0.609 1
P1 0.000 0.500 0.754 1
```

Calculated formation energy in eV/atom: -0.41

---

No. 7
VASP calculation (GGA-PBE) on a relaxed Nb5Ru crystal.

The structure in CIF format:
```
data_Nb5Ru
_chemical_formula_sum 'Nb5 Ru1'
_space_group_name_H-M_alt 'P 4/m m m'
_space_group_IT_number 123
_space_group_name_Hall '-P 4 2'
_cell_length_a 3.262
_cell_length_b 3.262
_cell_length_c 9.833
_cell_angle_alpha 90.00
_cell_angle_beta 90.00
_cell_angle_gamma 90.00
loop_
_atom_site_label
_atom_site_fract_x
_atom_site_fract_y
_atom_site_fract_z
_atom_site_occupancy
Nb1 0.000 0.000 0.000 1
Nb2 0.000 0.000 0.340 1
Nb3 0.500 0.500 0.169 1
Ru1 0.500 0.500 0.500 1
```

E above lowest polymorph in meV per atom: 21.0
Calculated formation energy in eV/atom: -0.15

---

No. 8
VASP calculation (GGA-PBE) on a relaxed TcPRu crystal.

The structure in CIF format:
```
data_TcPRu
_chemical_formula_sum 'Tc4 P4 Ru4'
_space_group_name_H-M_alt 'F -4 3 m'
_space_group_IT_number 216
_space_group_name_Hall 'F -4 2 3'
_cell_length_a 5.587
_cell_length_b 5.587
_cell_length_c 5.587
_cell_angle_alpha 90.00
_cell_angle_beta 90.00
_cell_angle_gamma 90.00
loop_
_atom_site_label
_atom_site_fract_x
_atom_site_fract_y
_atom_site_fract_z
_atom_site_occupancy
Tc1 0.000 0.000 0.000 1
P1 0.250 0.250 0.250 1
Ru1 0.000 0.000 0.500 1
```

E above lowest polymorph in meV per atom: 63.2
Calculated formation energy in eV/atom: -0.23

---

No. 9
VASP calculation (GGA-PBE) on a relaxed AcPbAu3 crystal.

The structure in CIF format:
```
data_AcPbAu3
_chemical_formula_sum 'Ac4 Pb4 Au12'
_space_group_name_H-M_alt 'C m c m'
_space_group_IT_number 63
_space_group_name_Hall '-C 2c 2'
_cell_length_a 3.927
_cell_length_b 28.355
_cell_length_c 4.657
_cell_angle_alpha 90.00
_cell_angle_beta 90.00
_cell_angle_gamma 90.00
loop_
_atom_site_label
_atom_site_fract_x
_atom_site_fract_y
_atom_site_fract_z
_atom_site_occupancy
Ac1 0.000 0.077 0.250 1
Pb1 0.000 0.211 0.750 1
Au1 0.000 0.317 0.750 1
Au2 0.000 0.375 0.250 1
Au3 0.000 0.473 0.250 1
```

Calculated formation energy in eV/atom: -0.54

---

No. 10
VASP calculation (GGA-PBE) on a relaxed SbTe2PF crystal.

The structure in CIF format:
```
data_SbTe2PF
_chemical_formula_sum 'Sb1 Te2 P1 F1'
_space_group_name_H-M_alt 'P 4/m m m'
_space_group_IT_number 123
_space_group_name_Hall '-P 4 2'
_cell_length_a 5.376
_cell_length_b 5.376
_cell_length_c 4.316
_cell_angle_alpha 90.00
_cell_angle_beta 90.00
_cell_angle_gamma 90.00
loop_
_atom_site_label
_atom_site_fract_x
_atom_site_fract_y
_atom_site_fract_z
_atom_site_occupancy
Sb1 0.000 0.000 0.000 1
Te1 0.000 0.500 0.500 1
P1 0.500 0.500 0.000 1
F1 0.000 0.000 0.500 1
```

E above lowest polymorph in meV per atom: 98.3
Uncorrected formation energy in meV per atom: 401

---

No. 11
VASP calculation (GGA-PBE) on a relaxed RbTaS2Cl crystal.

The structure in CIF format:
```
data_RbTaS2Cl
_chemical_formula_sum 'Rb1 Ta1 S2 Cl1'
_space_group_name_H-M_alt 'P 4/m m m'
_space_group_IT_number 123
_space_group_name_Hall '-P 4 2'
_cell_length_a 4.852
_cell_length_b 4.852
_cell_length_c 5.066
_cell_angle_alpha 90.00
_cell_angle_beta 90.00
_cell_angle_gamma 90.00
loop_
_atom_site_label
_atom_site_fract_x
_atom_site_fract_y
_atom_site_fract_z
_atom_site_occupancy
Rb1 0.000 0.000 0.000 1
Ta1 0.500 0.500 0.500 1
S1 0.000 0.500 0.500 1
Cl1 0.500 0.500 0.000 1
```

E above lowest polymorph in meV per atom: 0.0
Uncorrected formation energy in meV per atom: -1072

---

No. 12
VASP calculation (GGA-PBE) on a relaxed NaPa5S12 crystal.

The structure in CIF format:
```
data_NaPa5S12
_chemical_formula_sum 'Na2 Pa10 S24'
_space_group_name_H-M_alt 'I m m m'
_space_group_IT_number 71
_space_group_name_Hall '-I 2 2'
_cell_length_a 8.086
_cell_length_b 9.840
_cell_length_c 10.597
_cell_angle_alpha 90.00
_cell_angle_beta 90.00
_cell_angle_gamma 90.00
loop_
_atom_site_label
_atom_site_fract_x
_atom_site_fract_y
_atom_site_fract_z
_atom_site_occupancy
Na1 0.000 0.000 0.000 1
Pa1 0.000 0.000 0.500 1
Pa2 0.000 0.330 0.500 1
Pa3 0.000 0.500 0.164 1
S1 0.000 0.194 0.293 1
S2 0.201 0.345 0.000 1
S3 0.204 0.500 0.352 1
```

Uncorrected formation energy in meV per atom: -1311

---

no.,calculated volume (Å³/f.u.),uncorrected energy (eV/cell)
1,215.6,-200.4
2,25.9,-33.6
3,110.0,-26.9
4,168.8,-43.8
5,603.7,-257.0
6,71.6,-51.0
7,104.6,-60.5
8,43.6,-102.9
9,129.6,-81.4
10,124.7,-15.7
11,119.2,-28.3
12,421.6,-243.9